(1)
Compound: La2DyEr2Mg5
Source: Alexandria via LeMat-Bulk
Functional: PBE
Structure: optimized geometry

The value obtained for the magnetization is 0.000 μB per atom. The total energy comes out at -0.231 Ry per atom. The formation energy comes out at 8.7 meV/atom.

abc: 10.6329 10.6329 5.0970
angles: 90.00 90.00 90.00
Last column: nearest neighbours and their distance in Å.
Space group P4/mbm (No. 127)
Symmetry-distinct sites (fractional):
La  0.1757  0.3243  0.0000 (multiplicity 4)  3 Er 3.07-3.20
Dy  0.0000  0.0000  0.0000 (multiplicity 2)  8 Mg 3.40
Er  0.1203  0.6203  0.0000 (multiplicity 4)  3 La 3.07-3.20, 6 Mg 3.13-3.24
Mg  0.0000  0.5000  0.5000 (multiplicity 2)  4 Er 3.13, 4 Mg 3.29
Mg  0.0704  0.8011  0.5000 (multiplicity 8)  4 Mg 3.17-3.47, 2 Er 3.24, 2 Dy 3.40

---

(2)
Compound: TbDy4Tl2
Source: Alexandria via LeMat-Bulk
Functional: PBE
Structure: optimized geometry

For the offset from the most stable computed form, the calculation gives 0.115 eV/atom. The value obtained for the magnetization is 0.000 μB per atom. The total energy comes out at -0.286 Ry per atom. The formation energy comes out at 69.8 meV/atom.

abc: 5.4782 5.4782 26.3831
angles: 90.00 90.00 120.00
Last column: nearest neighbours and their distance in Å.
Space group R-3m (No. 166, hexagonal axes)
Symmetry-distinct sites (fractional):
Tb  0.0000  0.0000  0.0000 (multiplicity 3)  2 Tl 3.16, 6 Dy 3.30
Dy  0.0000  0.0000  0.2375 (multiplicity 6)  4 Tl 3.11-3.22, 1 Dy 3.47
Dy  0.0000  0.0000  0.3690 (multiplicity 6)  3 Tb 3.30, 7 Dy 3.47-3.68
Tl  0.0000  0.0000  0.1196 (multiplicity 6)  4 Dy 3.11-3.22, 1 Tb 3.16

---

(3)
Compound: InPSeN2
Source: Alexandria via LeMat-Bulk
Functional: PBE
Structure: optimized geometry

For the offset from the most stable computed form, the calculation gives 0.000 eV/atom. The value obtained for the magnetization is 0.093 μB per atom. The total energy comes out at -0.353 Ry per atom. The energy relative to the elements, uncorrected is 0.85 eV/atom.

abc: 3.6420 3.6420 5.8954
angles: 90.00 90.00 90.00
Last column: nearest neighbours and their distance in Å.
Space group P4/mmm (No. 123)
Symmetry-distinct sites (fractional):
In  0.0000  0.0000  0.0000 (multiplicity 1)  4 Se 2.58
P  0.5000  0.5000  0.5000 (multiplicity 1)  4 N 1.82
Se  0.5000  0.5000  0.0000 (multiplicity 1)  4 In 2.58
N  0.0000  0.5000  0.5000 (multiplicity 2)  2 P 1.82

---

(4)
Compound: ScTlSn
Source: Alexandria via LeMat-Bulk
Functional: PBE
Structure: optimized geometry

For the offset from the most stable computed form, the calculation gives 0.032 eV/atom. The value obtained for the magnetization is 0.000 μB per atom. The total energy comes out at -0.330 Ry per atom. The formation energy comes out at -250.1 meV/atom.

abc: 6.0531 3.2421 7.6235
angles: 90.00 90.00 90.00
Last column: nearest neighbours and their distance in Å.
Space group Pmma (No. 51)
Symmetry-distinct sites (fractional):
Sc  0.2500  0.0000  0.2197 (multiplicity 2)  4 Sn 3.08, 2 Tl 3.08, 2 Sc 3.24
Tl  0.2500  0.5000  0.8757 (multiplicity 2)  2 Sc 3.08, 2 Sn 3.24, 2 Tl 3.24
Sn  0.0000  0.5000  0.5000 (multiplicity 2)  4 Sn 3.03-3.24, 4 Sc 3.08, 2 Tl 3.24

---

(5)
Compound: TlReP2
Source: Alexandria via LeMat-Bulk
Functional: PBE
Structure: optimized geometry

For the offset from the most stable computed form, the calculation gives 0.933 eV/atom. The value obtained for the magnetization is 0.000 μB per atom. The total energy comes out at -0.402 Ry per atom. The formation energy comes out at 944.2 meV/atom.

abc: 5.5949 7.3954 3.2789
angles: 90.00 95.86 90.00
Last column: nearest neighbours and their distance in Å.
Space group C2/m (No. 12)
Symmetry-distinct sites (fractional):
Tl  0.0000  0.0000  0.0000 (multiplicity 2)  8 P 2.76-2.92, 2 Re 2.80
Re  0.0000  0.5000  0.0000 (multiplicity 2)  8 P 2.76-2.92, 2 Tl 2.80
P  0.2500  0.2500  0.5000 (multiplicity 4)  4 Tl 2.76-2.92, 4 Re 2.76-2.92, 2 P 2.80

---

(6)
Compound: AcTb2ThN4
Source: Alexandria via LeMat-Bulk
Functional: PBE
Structure: optimized geometry

The value obtained for the magnetization is 0.000 μB per atom. The total energy comes out at -0.603 Ry per atom. The energy relative to the elements, uncorrected is -1.45 eV/atom.

abc: 6.2978 3.6390 6.3266
angles: 90.00 109.31 90.00
Last column: nearest neighbours and their distance in Å.
Space group P2/m (No. 10)
Symmetry-distinct sites (fractional):
Ac  0.0000  0.0000  0.0000 (multiplicity 1)  6 N 2.66-2.67
Tb  0.5000  0.0000  0.5000 (multiplicity 1)  6 N 2.48-2.49
Tb  0.5000  0.5000  0.0000 (multiplicity 1)  6 N 2.59-2.62
Th  0.0000  0.5000  0.5000 (multiplicity 1)  6 N 2.54-2.57
N  0.2571  0.0000  0.7398 (multiplicity 2)  3 Tb 2.48-2.59, 2 Th 2.57, 1 Ac 2.66
N  0.2631  0.5000  0.2712 (multiplicity 2)  3 Tb 2.49-2.62, 1 Th 2.54, 2 Ac 2.67